The following is a PBE+U calculation of a geometry-optimized CoAuSO structure, from the Open Quantum Materials Database.

Output
Distance to the lowest polymorph of the same formula, meV per atom: 0
Space-group type: P2_1/c, No. 14

a = 6.6068 Å, b = 5.8134 Å, c = 6.7272 Å
α = 90.00°, β = 85.30°, γ = 90.00°
Fractional positions:
S 0.7957 0.8935 0.1071
O 0.3880 0.8840 0.3633
S 0.7957 0.6065 0.6071
Au 0.0846 0.7896 0.4680
Au 0.9154 0.2896 0.0320
Co 0.5067 0.2031 0.3720
O 0.6120 0.1160 0.6367
Au 0.9154 0.2104 0.5320
Co 0.4933 0.7969 0.6280
O 0.6120 0.3840 0.1367
Co 0.4933 0.7031 0.1280
S 0.2043 0.1065 0.8929
Co 0.5067 0.2969 0.8720
S 0.2043 0.3935 0.3929
O 0.3880 0.6160 0.8633
Au 0.0846 0.7104 0.9680